This record from Alexandria via LeMat-Bulk describes an optimized crystal structure of KPaPtO6. The functional is PBE.

It has space group Imma (No. 74), with a = 7.3446 Å, b = 8.0250 Å, c = 10.8878 Å, α = 90.00°, β = 90.00° and γ = 90.00°. The inequivalent atoms are K at (0.0000, 0.2500, 0.0871), Pa at (0.0000, 0.0000, 0.5000), Pt at (0.2500, 0.2500, 0.7500), O at (0.0000, 0.2500, 0.4224), O at (0.0000, 0.2500, 0.8150) and O at (0.2068, 0.0754, 0.6267).

Its formation energy (no corrections) is -1.751 eV per atom.



This record from Alexandria via LeMat-Bulk describes an optimized crystal structure of K2Ru2C. The functional is PBE.

It has space group I4/mmm (No. 139), with a = 6.5876 Å, b = 6.5876 Å, c = 6.2046 Å, α = 90.00°, β = 90.00° and γ = 90.00°. The inequivalent atoms are K at (0.0000, 0.5000, 0.2500), Ru at (0.0000, 0.0000, 0.2076) and C at (0.0000, 0.0000, 0.5000).

The offset from the most stable computed form is 261 kJ/mol of formula units. The formation energy is 6.54 eV per formula unit.



This record from Alexandria via LeMat-Bulk describes an optimized crystal structure of Ac3PrTh2P6. The functional is PBE.

It has space group C2/m (No. 12), with a = 7.4194 Å, b = 12.8567 Å, c = 7.4718 Å, α = 90.00°, β = 109.31° and γ = 90.00°. The inequivalent atoms are Ac at (0.0000, 0.0000, 0.0000), Ac at (0.0000, 0.3346, 0.0000), Pr at (0.0000, 0.5000, 0.5000), Th at (0.0000, 0.1670, 0.5000), P at (0.2382, 0.0000, 0.7310) and P at (0.2466, 0.3307, 0.7317).

The formation energy is -18.17 eV per formula unit.



This record from Alexandria via LeMat-Bulk describes an optimized crystal structure of Fe6Ni5Rh2. The functional is PBE.

It has space group Pbam (No. 55), with a = 8.5433 Å, b = 14.4109 Å, c = 2.5867 Å, α = 90.00°, β = 90.00° and γ = 90.00°. The inequivalent atoms are Fe at (0.0467, 0.0785, 0.0000), Fe at (0.0736, 0.3657, 0.0000), Fe at (0.1976, 0.6152, 0.5000), Ni at (0.0000, 0.5000, 0.5000), Ni at (0.0916, 0.2240, 0.5000), Ni at (0.2078, 0.9490, 0.5000) and Rh at (0.1635, 0.7803, 0.0000).

The formation energy is 1.12 eV per formula unit.